#1
Material: OsF
Method: DFT, PBE-GGA
State: optimized geometry

extended XYZ file:
```
16
Lattice="3.567 0.000 0.000 0.000 7.357 0.000 0.000 0.000 9.750" Properties=species:S:1:pos:R:3 pbc="T T T"
Os 0.034 1.384 0.755
Os 0.143 1.271 7.707
Os 1.641 6.086 2.832
Os 1.750 5.973 5.630
Os 1.817 2.294 8.995
Os 1.926 2.407 2.043
Os 3.424 4.950 6.918
Os 3.533 5.063 4.120
F 0.142 6.635 8.164
F 0.862 6.767 0.999
F 0.921 0.590 5.874
F 1.641 0.722 3.289
F 1.926 4.400 1.586
F 2.646 4.268 8.750
F 2.705 3.089 3.876
F 3.425 2.957 6.461
```

Results
**Density of states at the Fermi level**: 3.49 states/eV per cell



#2
Material: OsF
Method: DFT, PBE-GGA
State: optimized geometry

extended XYZ file:
```
8
Lattice="0.000 4.342 4.540 3.054 0.000 4.540 3.054 4.342 0.000" Properties=species:S:1:pos:R:3 pbc="T T T"
Os 0.764 1.085 0.018
Os 0.764 1.085 2.252
Os 5.345 7.598 6.829
Os 5.345 7.598 9.063
F 2.291 1.947 3.405
F 3.818 4.118 5.676
F 2.291 4.565 3.405
F 3.818 6.736 5.676
```

Results
**Density of states at the Fermi level**: 7.50 states/eV per cell



#3
Material: OsF
Method: DFT, PBE-GGA
State: optimized geometry

extended XYZ file:
```
4
Lattice="2.640 0.000 0.000 -1.320 2.286 0.000 0.000 0.000 9.239" Properties=species:S:1:pos:R:3 pbc="T T T"
Os 0.000 1.524 0.000
Os 1.320 0.762 4.619
F 0.000 1.524 7.331
F 1.320 0.762 2.712
```

Results
**Density of states at the Fermi level**: 2.44 states/eV per cell



#4
Material: OsF
Method: DFT, PBE-GGA
State: optimized geometry

extended XYZ file:
```
12
Lattice="9.337 0.000 0.000 -4.669 8.086 0.000 0.000 0.000 2.727" Properties=species:S:1:pos:R:3 pbc="T T T"
Os -1.795 3.234 0.682
Os -0.971 8.025 0.682
Os 1.903 3.172 2.045
Os 2.766 4.915 0.682
Os 5.639 0.062 2.045
Os 6.464 4.853 2.045
F -0.047 2.415 2.045
F -2.554 6.919 2.045
F 2.068 1.248 0.682
F 2.601 6.838 2.045
F 7.223 1.167 0.682
F 4.715 5.671 0.682
```

Results
**Density of states at the Fermi level**: 6.69 states/eV per cell



Relative to the most stable one, in eV/atom, the structures come out at #1 0.000; #2 0.328; #3 0.153; #4 0.293.



#1
Material: OsF
Method: DFT, PBE-GGA
State: optimized geometry

extended XYZ file:
```
12
Lattice="2.743 0.000 0.000 0.000 12.852 0.000 0.000 0.000 6.445" Properties=species:S:1:pos:R:3 pbc="T T T"
Os 0.000 0.000 0.000
Os 0.000 5.138 4.801
Os 0.000 7.714 4.801
Os 1.371 1.288 1.578
Os 1.371 6.426 3.223
Os 1.371 11.565 1.578
F 0.000 0.000 4.527
F 0.000 2.773 2.234
F 0.000 10.079 2.234
F 1.371 3.653 5.456
F 1.371 6.426 1.305
F 1.371 9.199 5.456
```

Results
**Density of states at the Fermi level**: 5.08 states/eV per cell



#2
Material: OsF
Method: DFT, PBE-GGA
State: optimized geometry

extended XYZ file:
```
8
Lattice="8.806 0.000 0.000 0.000 8.806 0.000 0.000 0.000 2.603" Properties=species:S:1:pos:R:3 pbc="T T T"
Os 0.780 0.780 0.000
Os 3.623 5.183 1.301
Os 5.183 3.623 1.301
Os 8.025 8.025 0.000
F 1.976 1.976 1.301
F 2.427 6.379 0.000
F 6.379 2.427 0.000
F 6.829 6.829 1.301
```

Results
**Density of states at the Fermi level**: 7.41 states/eV per cell



Relative to the most stable one, in eV/atom, the structures come out at #1 0.000; #2 0.628.



#1
Material: P3OsF
Method: DFT, PBE-GGA
State: optimized geometry

extended XYZ file:
```
5
Lattice="4.167 0.000 0.000 0.000 4.167 0.000 0.000 0.000 4.167" Properties=species:S:1:pos:R:3 pbc="T T T"
P 0.000 0.000 2.084
P 0.000 2.084 0.000
P 2.084 0.000 0.000
Os 2.084 2.084 2.084
F 0.000 0.000 0.000
```

Results
**Density of states at the Fermi level**: 2.74 states/eV per cell



#2
Material: P3OsF
Method: DFT, PBE-GGA
State: optimized geometry

extended XYZ file:
```
5
Lattice="4.583 0.000 0.000 0.000 4.583 0.000 0.000 0.000 4.583" Properties=species:S:1:pos:R:3 pbc="T T T"
P 0.000 0.000 2.291
P 0.000 2.291 0.000
P 2.291 0.000 0.000
Os 0.000 0.000 0.000
F 2.291 2.291 2.291
```

Results
**Density of states at the Fermi level**: 3.88 states/eV per cell



Relative to the most stable one, in eV/atom, the structures come out at #1 0.638; #2 0.000.



#1
Material: P2OsF
Method: DFT, PBE-GGA
State: optimized geometry

extended XYZ file:
```
16
Lattice="5.844 0.000 0.000 0.000 5.844 0.000 0.000 0.000 5.844" Properties=species:S:1:pos:R:3 pbc="T T T"
P 1.461 1.461 1.461
P 1.461 1.461 4.383
P 1.461 4.383 1.461
P 1.461 4.383 4.383
P 4.383 1.461 1.461
P 4.383 1.461 4.383
P 4.383 4.383 1.461
P 4.383 4.383 4.383
Os 0.000 0.000 0.000
Os 0.000 2.922 2.922
Os 2.922 0.000 2.922
Os 2.922 2.922 0.000
F 0.000 0.000 2.922
F 0.000 2.922 0.000
F 2.922 0.000 0.000
F 2.922 2.922 2.922
```

Results
**Density of states at the Fermi level**: 16.72 states/eV per cell



#2
Material: P2OsF
Method: DFT, PBE-GGA
State: optimized geometry

extended XYZ file:
```
16
Lattice="5.441 0.000 0.000 0.000 5.441 0.000 0.000 0.000 10.412" Properties=species:S:1:pos:R:3 pbc="T T T"
P 1.173 1.360 1.302
P 1.360 3.894 3.905
P 1.360 4.268 9.111
P 1.548 1.360 6.508
P 3.894 4.081 6.508
P 4.081 1.173 9.111
P 4.081 1.548 3.905
P 4.268 4.081 1.302
Os 0.000 0.000 0.000
Os 0.000 2.721 2.603
Os 2.721 0.000 7.809
Os 2.721 2.721 5.206
F 0.000 0.000 5.206
F 0.000 2.721 7.809
F 2.721 0.000 2.603
F 2.721 2.721 0.000
```

Results
**Density of states at the Fermi level**: 14.13 states/eV per cell



Relative to the most stable one, in eV/atom, the structures come out at #1 0.061; #2 0.000.



#1
Material: POs2F
Method: DFT, PBE-GGA
State: optimized geometry

extended XYZ file:
```
16
Lattice="5.787 0.000 0.000 0.000 5.787 0.000 0.000 0.000 5.787" Properties=species:S:1:pos:R:3 pbc="T T T"
P 0.000 0.000 0.000
P 0.000 2.893 2.893
P 2.893 0.000 2.893
P 2.893 2.893 0.000
Os 1.447 1.447 1.447
Os 1.447 1.447 4.340
Os 1.447 4.340 1.447
Os 1.447 4.340 4.340
Os 4.340 1.447 1.447
Os 4.340 1.447 4.340
Os 4.340 4.340 1.447
Os 4.340 4.340 4.340
F 0.000 0.000 2.893
F 0.000 2.893 0.000
F 2.893 0.000 0.000
F 2.893 2.893 2.893
```

Results
**Density of states at the Fermi level**: 16.70 states/eV per cell



#2
Material: POs2F
Method: DFT, PBE-GGA
State: optimized geometry

extended XYZ file:
```
16
Lattice="3.941 0.000 0.000 0.000 3.941 0.000 0.000 0.000 14.698" Properties=species:S:1:pos:R:3 pbc="T T T"
P 0.000 0.000 0.000
P 0.000 1.971 3.674
P 1.971 0.000 11.023
P 1.971 1.971 7.349
Os 0.844 0.985 9.186
Os 0.985 2.815 12.861
Os 0.985 3.097 5.512
Os 1.127 0.985 1.837
Os 2.815 2.956 1.837
Os 2.956 0.844 5.512
Os 2.956 1.127 12.861
Os 3.097 2.956 9.186
F 0.000 0.000 7.349
F 0.000 1.971 11.023
F 1.971 0.000 3.674
F 1.971 1.971 0.000
```

Results
**Density of states at the Fermi level**: 10.36 states/eV per cell



Relative to the most stable one, in eV/atom, the structures come out at #1 0.000; #2 0.149.



#1
Material: POsS2F
Method: DFT, PBE-GGA
State: optimized geometry

extended XYZ file:
```
5
Lattice="4.558 0.000 0.000 0.000 4.558 0.000 0.000 0.000 4.635" Properties=species:S:1:pos:R:3 pbc="T T T"
P 0.000 0.000 0.000
Os 0.000 0.000 2.318
S 0.000 2.279 2.318
S 2.279 0.000 2.318
F 2.279 2.279 0.000
```

Results
**Density of states at the Fermi level**: 5.16 states/eV per cell



#2
Material: POsS2F
Method: DFT, PBE-GGA
State: optimized geometry

extended XYZ file:
```
5
Lattice="4.490 0.000 0.000 0.000 4.490 0.000 0.000 0.000 3.763" Properties=species:S:1:pos:R:3 pbc="T T T"
P 0.000 0.000 0.000
Os 2.245 2.245 0.000
S 0.000 2.245 1.882
S 2.245 0.000 1.882
F 0.000 0.000 1.882
```

Results
**Density of states at the Fermi level**: 4.31 states/eV per cell



Relative to the most stable one, in eV/atom, the structures come out at #1 0.000; #2 0.889.



#1
Material: OsPb2F
Method: DFT, PBE-GGA
State: optimized geometry

extended XYZ file:
```
16
Lattice="5.851 0.000 0.000 0.000 5.851 0.000 0.000 0.000 12.754" Properties=species:S:1:pos:R:3 pbc="T T T"
Os 0.000 0.000 0.000
Os 0.000 2.925 3.188
Os 2.925 0.000 9.565
Os 2.925 2.925 6.377
Pb 1.434 1.463 7.971
Pb 1.463 4.360 11.159
Pb 1.463 4.417 4.783
Pb 1.491 1.463 1.594
Pb 4.360 4.388 1.594
Pb 4.388 1.434 4.783
Pb 4.388 1.491 11.159
Pb 4.417 4.388 7.971
F 0.000 0.000 6.377
F 0.000 2.925 9.565
F 2.925 0.000 3.188
F 2.925 2.925 0.000
```

Results
**Density of states at the Fermi level**: 11.06 states/eV per cell



#2
Material: OsPb2F
Method: DFT, PBE-GGA
State: optimized geometry

extended XYZ file:
```
16
Lattice="6.769 0.000 0.000 0.000 6.769 0.000 0.000 0.000 6.769" Properties=species:S:1:pos:R:3 pbc="T T T"
Os 0.000 0.000 0.000
Os 0.000 3.384 3.384
Os 3.384 0.000 3.384
Os 3.384 3.384 0.000
Pb 1.692 1.692 1.692
Pb 1.692 1.692 5.077
Pb 1.692 5.077 1.692
Pb 1.692 5.077 5.077
Pb 5.077 1.692 1.692
Pb 5.077 1.692 5.077
Pb 5.077 5.077 1.692
Pb 5.077 5.077 5.077
F 0.000 0.000 3.384
F 0.000 3.384 0.000
F 3.384 0.000 0.000
F 3.384 3.384 3.384
```

Results
**Density of states at the Fermi level**: 13.59 states/eV per cell



Relative to the most stable one, in eV/atom, the structures come out at #1 0.084; #2 0.000.



#1
Material: OsPbF2
Method: DFT, PBE-GGA
State: optimized geometry

extended XYZ file:
```
16
Lattice="6.397 0.000 0.000 0.000 6.397 0.000 0.000 0.000 6.397" Properties=species:S:1:pos:R:3 pbc="T T T"
Os 0.000 0.000 0.000
Os 0.000 3.198 3.198
Os 3.198 0.000 3.198
Os 3.198 3.198 0.000
Pb 0.000 0.000 3.198
Pb 0.000 3.198 0.000
Pb 3.198 0.000 0.000
Pb 3.198 3.198 3.198
F 1.599 1.599 1.599
F 1.599 1.599 4.798
F 1.599 4.798 1.599
F 1.599 4.798 4.798
F 4.798 1.599 1.599
F 4.798 1.599 4.798
F 4.798 4.798 1.599
F 4.798 4.798 4.798
```

Results
**Density of states at the Fermi level**: 10.48 states/eV per cell



#2
Material: OsPbF2
Method: DFT, PBE-GGA
State: optimized geometry

extended XYZ file:
```
12
Lattice="3.583 0.000 0.000 -1.791 3.103 0.000 0.000 0.000 20.499" Properties=species:S:1:pos:R:3 pbc="T T T"
Os 0.000 0.000 0.000
Os 0.000 2.069 13.666
Os 1.791 1.034 6.833
Pb 0.000 0.000 10.250
Pb 0.000 2.069 3.417
Pb 1.791 1.034 17.083
F 0.000 0.000 7.529
F 0.000 0.000 12.971
F 0.000 2.069 0.696
F 0.000 2.069 6.138
F 1.791 1.034 14.362
F 1.791 1.034 19.804
```

Results
**Density of states at the Fermi level**: 5.03 states/eV per cell



Relative to the most stable one, in eV/atom, the structures come out at #1 0.035; #2 0.000.